1.
# FeCoBiPt

A relaxed structure of FeCoBiPt (PBE-GGA, OQMD).

```
FeCoBiPt
1.0
-0.9663 -2.1465 3.7924
-3.4476 -2.8314 0.1458
0.7307 -4.3912 0.3276
Co Pt Bi Fe
1 1 1 1
direct
0.7500 0.7500 0.7500
0.5000 0.5000 0.5000
0.0000 0.0000 0.0000
0.2500 0.2500 0.2500
```

The total moment is 3.87 Bohr magnetons per cell. As for the total DFT energy (no corrections): -0.4504 Ry/atom. Its symmetry is No. 216.

---

2.
# DyEr

A relaxed structure of DyEr (PBE-GGA, OQMD).

```
DyEr
1.0
0.0000 3.2151 3.2151
3.2151 0.0000 3.2151
3.2151 3.2151 0.0000
Dy Er
1 1
direct
0.0000 0.0000 0.0000
0.5000 0.5000 0.5000
```

The total moment is 0.89 Bohr magnetons per cell. Its symmetry is No. 225. The calculation puts the energy of formation at 0.8043 eV per atom.

---

3.
# AlFeH6Pb

A relaxed structure of AlFeH6Pb (PBE-GGA, OQMD).

```
AlFeH6Pb
1.0
0.0000 3.4204 3.4204
3.4204 0.0000 3.4204
3.4204 3.4204 0.0000
Pb H Al Fe
1 6 1 1
direct
0.5000 0.5000 0.5000
0.5126 0.9874 0.9874
0.5126 0.5126 0.9874
0.9874 0.5126 0.9874
0.9874 0.9874 0.5126
0.9874 0.5126 0.5126
0.5126 0.9874 0.5126
0.0000 0.0000 0.0000
0.7500 0.7500 0.7500
```

The total moment is 0.84 Bohr magnetons per cell. As for the total DFT energy (no corrections): -0.2737 Ry/atom. Its symmetry is No. 216.

---

4.
# PuSb

A relaxed structure of PuSb (PBE-GGA, OQMD).

```
PuSb
1.0
5.6922 0.0000 0.0000
0.0000 3.2339 0.0000
0.0000 0.0000 5.6923
Sb Pu
2 2
direct
0.7500 0.5000 0.7499
0.2500 0.5000 0.2501
0.7500 0.0000 0.2499
0.2500 0.0000 0.7501
```

The total moment is 11.35 Bohr magnetons per cell. As for the total DFT energy (no corrections): -0.7238 Ry/atom. Its symmetry is No. 123.

---

5.
# SmHoBr3N

A relaxed structure of SmHoBr3N (PBE-GGA, OQMD).

```
SmHoBr3N
1.0
-9.2655 0.9874 -1.5340
-8.0735 -0.7747 -4.8370
4.6936 -8.6871 6.3283
Sm Ho N Br
2 2 2 6
direct
0.1360 0.1360 0.2847
0.8640 0.8640 0.7153
0.4267 0.4267 0.0395
0.5733 0.5733 0.9605
0.5729 0.5729 0.1502
0.4271 0.4271 0.8498
0.0398 0.0398 0.7542
0.2122 0.2122 0.1146
0.6671 0.6671 0.5108
0.9602 0.9602 0.2458
0.3329 0.3329 0.4892
0.7878 0.7878 0.8854
```

The total moment is 0.00 Bohr magnetons per cell. As for the total DFT energy (no corrections): -0.4129 Ry/atom. Its symmetry is No. 12.

---

6.
# MgScPd

A relaxed structure of MgScPd (PBE-GGA, OQMD).

```
MgScPd
1.0
0.0000 3.2220 3.2220
3.2220 0.0000 3.2220
3.2220 3.2220 0.0000
Mg Sc Pd
1 1 1
direct
0.2500 0.2500 0.2500
0.0000 0.0000 0.0000
0.7500 0.7500 0.7500
```

The total moment is 0.00 Bohr magnetons per cell. As for the total DFT energy (no corrections): -0.3170 Ry/atom. Its symmetry is No. 216.

---

7.
# DyHo3Te2C2

A relaxed structure of DyHo3Te2C2 (PBE-GGA, OQMD).

```
DyHo3Te2C2
1.0
3.8202 0.0000 0.0000
-1.9101 3.3084 0.0000
0.0000 0.0000 13.9687
Ho Te Dy C
3 2 1 2
direct
0.0000 0.0000 0.5931
0.6667 0.3333 0.0932
0.6667 0.3333 0.4069
0.0000 0.0000 0.2500
0.6667 0.3333 0.7498
0.0000 0.0000 0.9068
0.3333 0.6667 0.0001
0.3333 0.6667 0.5000
```

The total moment is 0.00 Bohr magnetons per cell. As for the total DFT energy (no corrections): -0.4602 Ry/atom. Its symmetry is No. 156.

---

8.
# Tm2FeSi4Ni

A relaxed structure of Tm2FeSi4Ni (PBE-GGA, OQMD).

```
Tm2FeSi4Ni
1.0
3.9115 0.0000 0.0000
0.0000 1.9787 8.2511
0.0000 -1.9787 8.2511
Ni Si Fe Tm
1 4 1 2
direct
0.0000 0.1748 0.1748
0.5000 0.2511 0.2511
0.5000 0.9573 0.9573
0.0000 0.0407 0.0407
0.0000 0.7511 0.7511
0.5000 0.8223 0.8223
0.0000 0.3938 0.3938
0.5000 0.6088 0.6088
```

The total moment is 0.04 Bohr magnetons per cell. As for the total DFT energy (no corrections): -0.4614 Ry/atom. Its symmetry is No. 38.

---

9.
# Cu5Ag4

A relaxed structure of Cu5Ag4 (PBE-GGA, OQMD).

```
Cu5Ag4
1.0
-5.6179 0.8142 -1.4662
-4.6575 -0.9099 -3.4430
-0.2000 -6.4656 5.5421
Ag Cu
4 5
direct
0.6584 0.6584 0.7320
0.3436 0.3436 0.6214
0.6564 0.6564 0.3786
0.3416 0.3416 0.2680
0.6644 0.6644 0.0500
0.9985 0.9985 0.8552
0.0015 0.0015 0.1448
0.3356 0.3356 0.9500
0.0000 0.0000 0.5000
```

Its symmetry is No. 12. The calculation puts the energy of formation at 0.0844 eV per atom.

---

10.
# HfZn2Co

A relaxed structure of HfZn2Co (PBE-GGA, OQMD).

```
HfZn2Co
1.0
0.0000 3.0902 3.0902
3.0902 0.0000 3.0902
3.0902 3.0902 0.0000
Zn Hf Co
2 1 1
direct
0.0000 0.0000 0.0000
0.7500 0.7500 0.7500
0.2500 0.2500 0.2500
0.5000 0.5000 0.5000
```

The total moment is 0.60 Bohr magnetons per cell. Its symmetry is No. 216. The calculation puts the energy of formation at -0.1476 eV per atom.

---

11.
# PaFe3

A relaxed structure of PaFe3 (PBE-GGA, OQMD).

```
PaFe3
1.0
-3.2393 -3.7776 -1.9825
3.3585 2.6218 -3.2467
3.2132 -3.1604 0.7718
Fe Pa
6 2
direct
0.6878 0.8439 0.2500
0.8439 0.6878 0.7500
0.1561 0.3122 0.2500
0.1561 0.8439 0.2500
0.3122 0.1561 0.7500
0.8439 0.1561 0.7500
0.3333 0.6667 0.7500
0.6667 0.3333 0.2500
```

The total moment is 9.11 Bohr magnetons per cell. Its symmetry is No. 194. The calculation puts the energy of formation at -0.0179 eV per atom.

---

12.
# Ni3Mo

A relaxed structure of Ni3Mo (PBE-GGA, OQMD).

```
Ni3Mo
1.0
-2.4341 -0.1451 2.6894
-2.6881 -0.0931 -2.4380
0.1664 -3.6261 -0.0450
Mo Ni
1 3
direct
0.0000 0.0000 0.0000
0.5000 0.5000 0.0000
0.5000 0.0000 0.5000
0.0000 0.5000 0.5000
```

The total moment is 1.89 Bohr magnetons per cell. Its symmetry is No. 221. The calculation puts the energy of formation at 0.0894 eV per atom.

---

13.
# PmS2

A relaxed structure of PmS2 (PBE-GGA, OQMD).

```
PmS2
1.0
-7.1261 -4.1364 2.6905
-0.9085 -8.4892 -1.4958
0.4791 -5.6338 6.5696
S Pm
4 2
direct
0.3750 0.8750 0.3750
0.3750 0.3750 0.3750
0.3750 0.3750 0.8750
0.8750 0.3750 0.3750
0.5000 0.5000 0.5000
0.2500 0.2500 0.2500
```

The total moment is 2.00 Bohr magnetons per cell. As for the total DFT energy (no corrections): -0.3836 Ry/atom. Its symmetry is No. 227.

---

14.
# Sm2YZn4Si4

A relaxed structure of Sm2YZn4Si4 (PBE-GGA, OQMD).

```
Sm2YZn4Si4
1.0
9.3364 -4.0999 7.5237
4.6677 -4.3388 10.9531
-7.4645 1.5000 -10.1300
Si Y Zn Sm
4 1 4 2
direct
0.1898 0.6898 0.5000
0.4529 0.4529 0.0000
0.8102 0.3102 0.5000
0.5471 0.5471 0.0000
0.0000 0.0000 0.0000
0.9064 0.4064 0.5000
0.7496 0.7496 0.0000
0.0936 0.5936 0.5000
0.2504 0.2504 0.0000
0.3563 0.8563 0.5000
0.6437 0.1437 0.5000
```

The total moment is 0.01 Bohr magnetons per cell. As for the total DFT energy (no corrections): -0.3261 Ry/atom. Its symmetry is No. 71.

---

15.
# Pr3Bi2Se

A relaxed structure of Pr3Bi2Se (PBE-GGA, OQMD).

```
Pr3Bi2Se
1.0
4.5063 0.0000 0.0000
-2.2532 3.9026 0.0000
0.0000 0.0000 11.0512
Pr Bi Se
3 2 1
direct
0.0000 0.0000 0.0000
0.6667 0.3333 0.6502
0.3333 0.6667 0.3498
0.3333 0.6667 0.8249
0.6667 0.3333 0.1751
0.0000 0.0000 0.5000
```

The total moment is 0.00 Bohr magnetons per cell. As for the total DFT energy (no corrections): -0.4094 Ry/atom. Its symmetry is No. 164.

---

16.
# Pr2Y

A relaxed structure of Pr2Y (PBE-GGA, OQMD).

```
Pr2Y
1.0
0.7639 -5.3974 -3.9529
-4.9296 -1.8117 -4.2140
0.7933 0.7761 -6.6415
Pr Y
4 2
direct
0.6250 0.6250 0.6250
0.6250 0.6250 0.1250
0.6250 0.1250 0.6250
0.1250 0.6250 0.6250
0.0000 0.0000 0.0000
0.2500 0.2500 0.2500
```

The total moment is 0.16 Bohr magnetons per cell. Its symmetry is No. 227. The calculation puts the energy of formation at 0.2358 eV per atom.

---

17.
# GdEr2FeNi8

A relaxed structure of GdEr2FeNi8 (PBE-GGA, OQMD).

```
GdEr2FeNi8
1.0
2.4917 1.4386 7.9935
-2.4917 1.4386 7.9935
0.0000 -2.8772 7.9935
Ni Gd Er Fe
8 1 2 1
direct
0.9183 0.4150 0.4150
0.6665 0.6665 0.6665
0.4150 0.9183 0.4150
0.4150 0.4150 0.9183
0.5850 0.5850 0.0817
0.3335 0.3335 0.3335
0.5850 0.0817 0.5850
0.0817 0.5850 0.5850
0.0000 0.0000 0.0000
0.8607 0.8607 0.8607
0.1393 0.1393 0.1393
0.5000 0.5000 0.5000
```

The total moment is 0.04 Bohr magnetons per cell. Its symmetry is No. 166. The calculation puts the energy of formation at -0.3467 eV per atom.

---

18.
# MoAs2Ir

A relaxed structure of MoAs2Ir (PBE-GGA, OQMD).

```
MoAs2Ir
1.0
-2.9160 -0.4002 3.4259
-3.3874 2.9550 0.4393
-4.2511 -1.3035 -0.7933
Mo As Ir
1 2 1
direct
0.2500 0.2500 0.2500
0.0000 0.0000 0.0000
0.7500 0.7500 0.7500
0.5000 0.5000 0.5000
```

The total moment is 0.04 Bohr magnetons per cell. As for the total DFT energy (no corrections): -0.4988 Ry/atom. Its symmetry is No. 216.

---

19.
# NdSnPtAu

A relaxed structure of NdSnPtAu (PBE-GGA, OQMD).

```
NdSnPtAu
1.0
-4.4700 -0.2953 1.3949
3.2724 -2.6819 2.0280
1.5613 6.7727 6.4372
Sn Pt Au Nd
2 2 2 2
direct
0.0000 0.0000 0.0000
0.0000 0.0000 0.5000
0.6667 0.3333 0.5809
0.3333 0.6667 0.4191
0.6667 0.3333 0.8945
0.3333 0.6667 0.1055
0.3333 0.6667 0.7431
0.6667 0.3333 0.2569
```

The total moment is 0.01 Bohr magnetons per cell. As for the total DFT energy (no corrections): -0.3926 Ry/atom. Its symmetry is No. 164.

---

20.
# RbHg4P3

A relaxed structure of RbHg4P3 (PBE-GGA, OQMD).

```
RbHg4P3
1.0
2.3004 4.6069 12.0627
6.2618 2.8734 11.1605
5.2730 6.9546 9.7904
Rb P Hg
1 3 4
direct
0.5000 0.5000 0.5000
0.7666 0.7666 0.7666
0.2334 0.2334 0.2334
0.0000 0.0000 0.0000
0.6975 0.6975 0.6975
0.9043 0.9043 0.9043
0.0957 0.0957 0.0957
0.3025 0.3025 0.3025
```

As for the total DFT energy (no corrections): -0.1637 Ry/atom. Its symmetry is No. 166.

---

21.
# NbZnFe2

A relaxed structure of NbZnFe2 (PBE-GGA, OQMD).

```
NbZnFe2
1.0
0.0000 3.0244 3.0244
3.0244 0.0000 3.0244
3.0244 3.0244 0.0000
Zn Nb Fe
1 1 2
direct
0.2500 0.2500 0.2500
0.5000 0.5000 0.5000
0.7500 0.7500 0.7500
0.0000 0.0000 0.0000
```

The total moment is 4.65 Bohr magnetons per cell. Its symmetry is No. 216. The calculation puts the energy of formation at 0.0892 eV per atom.

---

22.
# TlReTcNi

A relaxed structure of TlReTcNi (PBE-GGA, OQMD).

```
TlReTcNi
1.0
0.0000 3.1455 3.1455
3.1455 0.0000 3.1455
3.1455 3.1455 0.0000
Tc Ni Tl Re
1 1 1 1
direct
0.2500 0.2500 0.2500
0.7500 0.7500 0.7500
0.0000 0.0000 0.0000
0.5000 0.5000 0.5000
```

The total moment is 0.10 Bohr magnetons per cell. As for the total DFT energy (no corrections): -0.5160 Ry/atom. Its symmetry is No. 216.

---

23.
# Dy2YCo6Ni3

A relaxed structure of Dy2YCo6Ni3 (PBE-GGA, OQMD).

```
Dy2YCo6Ni3
1.0
2.4533 1.4164 8.2261
-2.4533 1.4164 8.2261
0.0000 -2.8328 8.2261
Co Dy Ni Y
6 2 3 1
direct
0.5815 0.0804 0.5815
0.4185 0.4185 0.9196
0.5815 0.5815 0.0804
0.4185 0.9196 0.4185
0.0804 0.5815 0.5815
0.9196 0.4185 0.4185
0.1390 0.1390 0.1390
0.8610 0.8610 0.8610
0.5000 0.5000 0.5000
0.6666 0.6666 0.6666
0.3334 0.3334 0.3334
0.0000 0.0000 0.0000
```

The total moment is 6.88 Bohr magnetons per cell. Its symmetry is No. 166. The calculation puts the energy of formation at -0.2476 eV per atom.

---

24.
# RbPuMgTe3

A relaxed structure of RbPuMgTe3 (PBE-GGA, OQMD).

```
RbPuMgTe3
1.0
-1.1458 8.1525 -1.9933
-3.0272 -7.0757 3.5384
4.7425 3.2453 10.5469
Rb Pu Te Mg
2 2 6 2
direct
0.7541 0.2459 0.7500
0.2459 0.7541 0.2500
0.5000 0.5000 0.0000
0.5000 0.5000 0.5000
0.1264 0.8736 0.5548
0.1264 0.8736 0.9452
0.8736 0.1264 0.0548
0.4347 0.5653 0.7500
0.8736 0.1264 0.4452
0.5653 0.4347 0.2500
0.9636 0.0364 0.2500
0.0364 0.9636 0.7500
```

The total moment is 9.99 Bohr magnetons per cell. As for the total DFT energy (no corrections): -0.3970 Ry/atom. Its symmetry is No. 63.

---

25.
# ZrAl

A relaxed structure of ZrAl (PBE-GGA, OQMD).

```
ZrAl
1.0
2.2206 3.8466 0.0000
-7.3876 6.8296 0.0000
0.0000 0.0000 4.4417
Al Zr
5 5
direct
0.6832 0.8000 0.0000
0.4743 0.2195 0.0000
0.8937 0.3806 0.0000
0.9752 0.2152 0.5000
0.3903 0.3849 0.5000
0.0729 0.0214 0.0000
0.2944 0.5785 0.0000
0.5728 0.0203 0.5000
0.7932 0.5796 0.5000
0.1832 0.8000 0.5000
```

The total moment is 0.02 Bohr magnetons per cell. As for the total DFT energy (no corrections): -0.4733 Ry/atom. Its symmetry is No. 38.

---

26.
# CoNiAsPd

A relaxed structure of CoNiAsPd (PBE-GGA, OQMD).

```
CoNiAsPd
1.0
-1.5488 2.0704 3.3134
-3.8615 1.6503 -0.1707
-3.1094 -1.6892 2.2676
Co Ni As Pd
1 1 1 1
direct
0.7500 0.7500 0.7500
0.5000 0.5000 0.5000
0.0000 0.0000 0.0000
0.2500 0.2500 0.2500
```

The total moment is 0.01 Bohr magnetons per cell. As for the total DFT energy (no corrections): -0.4114 Ry/atom. Its symmetry is No. 216.